VASP calculation (PBE+U) on a geometry-optimized SiMoP3O11 structure.

Cell: 8.6560 8.6560 14.4678 Å, 72.59 72.59 60.00°
With the nearest neighbours (Å) after each atom.
Fractional positions:
Si  0.0392  0.0392  0.8823  4 O 1.60-1.63
Si  0.5392  0.5392  0.3823  4 O 1.60-1.63
Si  0.4608  0.4608  0.6177  4 O 1.60-1.63
Si  0.9608  0.9608  0.1177  4 O 1.60-1.63
Mo  0.1597  0.1597  0.5210  6 O 2.14-2.16
Mo  0.3403  0.3403  0.9790  6 O 2.14-2.16
Mo  0.8403  0.8403  0.4790  6 O 2.14-2.16
Mo  0.6597  0.6597  0.0210  6 O 2.14-2.16
P  0.0898  0.7804  0.6420  4 O 1.50-1.61
P  0.5898  0.9878  0.1420  4 O 1.50-1.61
P  0.7804  0.4878  0.6420  4 O 1.50-1.61
P  0.0122  0.7196  0.8580  4 O 1.50-1.61
P  0.4102  0.0122  0.8580  4 O 1.50-1.61
P  0.7196  0.4102  0.8580  4 O 1.50-1.61
P  0.4878  0.0898  0.6420  4 O 1.50-1.61
P  0.9878  0.2804  0.1420  4 O 1.50-1.61
P  0.5122  0.9102  0.3580  4 O 1.50-1.61
P  0.9102  0.2196  0.3580  4 O 1.50-1.61
P  0.2196  0.5122  0.3580  4 O 1.50-1.61
P  0.2804  0.5898  0.1420  4 O 1.50-1.61
O  0.8464  0.4718  0.1181  1 P 1.50
O  0.6681  0.0393  0.5728  1 P 1.51
O  0.9718  0.3464  0.6181  1 P 1.50
O  0.3319  0.9607  0.4272  1 P 1.51
O  0.2922  0.6414  0.6580  1 P 1.59, 1 Si 1.63
O  0.0282  0.6536  0.3819  1 P 1.50
O  0.9362  0.0282  0.3819  1 P 1.50
O  0.1536  0.5282  0.8819  1 P 1.50
O  0.0393  0.7197  0.5728  1 P 1.51
O  0.2500  0.4737  0.2500  2 P 1.61
O  0.8586  0.2078  0.8420  1 P 1.59, 1 Si 1.63
O  0.7500  0.5263  0.7500  2 P 1.61
O  0.4718  0.5638  0.1181  1 P 1.50
O  0.5638  0.8464  0.1181  1 P 1.50
O  0.7078  0.3586  0.3420  1 P 1.59, 1 Si 1.63
O  0.0638  0.9718  0.6181  1 P 1.50
O  0.7922  0.9084  0.1580  1 P 1.59, 1 Si 1.63
O  0.3586  0.5916  0.3420  1 P 1.59, 1 Si 1.63
O  0.2197  0.5393  0.0728  1 P 1.51
O  0.7803  0.4607  0.9272  1 P 1.51
O  0.7197  0.6681  0.5728  1 P 1.51
O  0.9737  0.7500  0.7500  2 P 1.61
O  0.9084  0.1414  0.1580  1 P 1.59, 1 Si 1.63
O  0.9607  0.2803  0.4272  1 P 1.51
O  0.5282  0.4362  0.8819  1 P 1.50
O  0.1681  0.2197  0.0728  1 P 1.51
O  0.3464  0.0638  0.6181  1 P 1.50
O  0.4737  0.0263  0.2500  2 P 1.61
O  0.5916  0.7078  0.3420  1 P 1.59, 1 Si 1.63
O  0.2803  0.3319  0.4272  1 P 1.51
O  0.8319  0.7803  0.9272  1 P 1.51
O  0.0263  0.2500  0.2500  2 P 1.61
O  0.4607  0.8319  0.9272  1 P 1.51
O  0.5263  0.9737  0.7500  2 P 1.61
O  0.0000  0.0000  0.0000  2 Si 1.60
O  0.5393  0.1681  0.0728  1 P 1.51
O  0.4084  0.2922  0.6580  1 P 1.59, 1 Si 1.63
O  0.1414  0.7922  0.1580  1 P 1.59, 1 Si 1.63
O  0.6414  0.4084  0.6580  1 P 1.59, 1 Si 1.63
O  0.0916  0.8586  0.8420  1 P 1.59, 1 Si 1.63
O  0.2078  0.0916  0.8420  1 P 1.59, 1 Si 1.63
O  0.5000  0.5000  0.5000  2 Si 1.60
O  0.6536  0.9362  0.3819  1 P 1.50
O  0.4362  0.1536  0.8819  1 P 1.50

Properties
Space group: No. 167
Calculated total energy, eV/cell: -476.47
Size of the total moment, μB per cell: 12.0